Record 1
# SmAlAg, relaxed, DFT PBE
data_SmAlAg
_chemical_formula_sum 'Sm2 Al2 Ag2'
_space_group_name_H-M_alt 'I 4 m m'
_space_group_IT_number 107
_space_group_name_Hall 'I 4 -2'
_cell_length_a 3.357
_cell_length_b 3.357
_cell_length_c 11.635
_cell_angle_alpha 90.00
_cell_angle_beta 90.00
_cell_angle_gamma 90.00
loop_
_atom_site_label
_atom_site_fract_x
_atom_site_fract_y
_atom_site_fract_z
Sm1 0.000 0.000 0.000
Al1 0.000 0.000 0.686
Ag1 0.000 0.000 0.307
# E	-4.000	eV per atom
# Fermi-level density of states	5.052	states/eV per cell

***

Record 2
# SmAl2Ag5, relaxed, DFT PBE
data_SmAl2Ag5
_chemical_formula_sum 'Sm2 Al4 Ag10'
_space_group_name_H-M_alt 'I m m m'
_space_group_IT_number 71
_space_group_name_Hall '-I 2 2'
_cell_length_a 3.860
_cell_length_b 7.776
_cell_length_c 10.589
_cell_angle_alpha 90.00
_cell_angle_beta 90.00
_cell_angle_gamma 90.00
loop_
_atom_site_label
_atom_site_fract_x
_atom_site_fract_y
_atom_site_fract_z
Sm1 0.000 0.000 0.000
Al1 0.000 0.500 0.253
Ag1 0.000 0.199 0.358
Ag2 0.000 0.500 0.000
# E	-3.467	eV per atom
# Fermi-level density of states	7.211	states/eV per cell

***

Record 3
# Sm4Al12Ag, relaxed, DFT PBE
data_Sm4Al12Ag
_chemical_formula_sum 'Sm8 Al24 Ag2'
_space_group_name_H-M_alt 'I m -3 m'
_space_group_IT_number 229
_space_group_name_Hall '-I 4 2 3'
_cell_length_a 8.806
_cell_length_b 8.806
_cell_length_c 8.806
_cell_angle_alpha 90.00
_cell_angle_beta 90.00
_cell_angle_gamma 90.00
loop_
_atom_site_label
_atom_site_fract_x
_atom_site_fract_y
_atom_site_fract_z
Sm1 0.250 0.250 0.250
Al1 0.000 0.000 0.303
Al2 0.000 0.250 0.500
Ag1 0.000 0.000 0.000
# E	-4.351	eV per atom
# Fermi-level density of states	4.296	states/eV per cell

***

Record 4
# Sm2Al5Ag, relaxed, DFT PBE
data_Sm2Al5Ag
_chemical_formula_sum 'Sm4 Al10 Ag2'
_space_group_name_H-M_alt 'I 4 m m'
_space_group_IT_number 107
_space_group_name_Hall 'I 4 -2'
_cell_length_a 6.182
_cell_length_b 6.182
_cell_length_c 8.638
_cell_angle_alpha 90.00
_cell_angle_beta 90.00
_cell_angle_gamma 90.00
loop_
_atom_site_label
_atom_site_fract_x
_atom_site_fract_y
_atom_site_fract_z
Sm1 0.000 0.500 0.000
Al1 0.000 0.000 0.001
Al2 0.250 0.250 0.250
Ag1 0.000 0.000 0.499
# E	-4.214	eV per atom
# Fermi-level density of states	7.871	states/eV per cell

***

Record 5
# SmAl2Ag4, relaxed, DFT PBE
data_SmAl2Ag4
_chemical_formula_sum 'Sm2 Al4 Ag8'
_space_group_name_H-M_alt 'I 4/m m m'
_space_group_IT_number 139
_space_group_name_Hall '-I 4 2'
_cell_length_a 7.017
_cell_length_b 7.017
_cell_length_c 5.433
_cell_angle_alpha 90.00
_cell_angle_beta 90.00
_cell_angle_gamma 90.00
loop_
_atom_site_label
_atom_site_fract_x
_atom_site_fract_y
_atom_site_fract_z
Sm1 0.000 0.000 0.000
Al1 0.000 0.500 0.250
Ag1 0.198 0.198 0.500
# E	-3.610	eV per atom
# Fermi-level density of states	7.161	states/eV per cell

***

Record 6
# Sm3Al6Ag5, relaxed, DFT PBE
data_Sm3Al6Ag5
_chemical_formula_sum 'Sm6 Al12 Ag10'
_space_group_name_H-M_alt 'P m m n'
_space_group_IT_number 59
_cell_length_a 4.529
_cell_length_b 13.250
_cell_length_c 9.506
_cell_angle_alpha 90.00
_cell_angle_beta 90.00
_cell_angle_gamma 90.00
loop_
_space_group_symop_operation_xyz
'x,y,z'
'-x,-y,-z'
'-x+1/2,-y+1/2,z'
'x+1/2,y+1/2,-z'
'x+1/2,-y,-z'
'-x+1/2,y,z'
'-x,y+1/2,-z'
'x,-y+1/2,z'
loop_
_atom_site_label
_atom_site_fract_x
_atom_site_fract_y
_atom_site_fract_z
Sm1 0.250 0.046 0.250
Sm2 0.250 0.750 0.240
Al1 0.250 0.091 0.887
Al2 0.250 0.250 0.063
Al3 0.250 0.250 0.436
Al4 0.250 0.611 0.529
Ag1 0.250 0.093 0.610
Ag2 0.250 0.609 0.973
Ag3 0.250 0.750 0.742
# E	-3.981	eV per atom
# Fermi-level density of states	16.525	states/eV per cell

***

Record 7
# Sm2Al2Ag, relaxed, DFT PBE
data_Sm2Al2Ag
_chemical_formula_sum 'Sm8 Al8 Ag4'
_space_group_name_H-M_alt 'C 1 2/m 1'
_space_group_IT_number 12
_space_group_name_Hall '-C 2y'
_cell_length_a 10.867
_cell_length_b 4.620
_cell_length_c 10.998
_cell_angle_alpha 90.00
_cell_angle_beta 118.28
_cell_angle_gamma 90.00
loop_
_atom_site_label
_atom_site_fract_x
_atom_site_fract_y
_atom_site_fract_z
Sm1 0.010 0.000 0.326
Sm2 0.185 0.000 0.105
Al1 0.018 0.500 0.888
Al2 0.138 0.500 0.560
Ag1 0.226 0.500 0.351
# E	-4.335	eV per atom
# Fermi-level density of states	15.318	states/eV per cell

***

Record 8
# Sm2Al9Ag6, relaxed, DFT PBE
data_Sm2Al9Ag6
_chemical_formula_sum 'Sm2 Al9 Ag6'
_space_group_name_H-M_alt 'P 6/m m m'
_space_group_IT_number 191
_space_group_name_Hall '-P 6 2'
_cell_length_a 5.4973
_cell_length_b 5.4973
_cell_length_c 13.2824
_cell_angle_alpha 90.00
_cell_angle_beta 90.00
_cell_angle_gamma 120.00
loop_
_atom_site_label
_atom_site_fract_x
_atom_site_fract_y
_atom_site_fract_z
Sm1 0.0000 0.0000 0.1632
Al1 0.0000 0.5000 0.0000
Al2 0.0000 0.5000 0.3353
Ag1 0.3333 0.6667 0.1668
Ag2 0.3333 0.6667 0.5000
# E	-3.716	eV per atom
# Fermi-level density of states	5.126	states/eV per cell

***

Record 9
# SmAl6Ag6, relaxed, DFT PBE
data_SmAl6Ag6
_chemical_formula_sum 'Sm2 Al12 Ag12'
_space_group_name_H-M_alt 'I m m m'
_space_group_IT_number 71
_space_group_name_Hall '-I 2 2'
_cell_length_a 5.412
_cell_length_b 9.138
_cell_length_c 9.430
_cell_angle_alpha 90.00
_cell_angle_beta 90.00
_cell_angle_gamma 90.00
loop_
_atom_site_label
_atom_site_fract_x
_atom_site_fract_y
_atom_site_fract_z
Sm1 0.000 0.000 0.000
Al1 0.000 0.271 0.500
Al2 0.250 0.250 0.250
Ag1 0.000 0.000 0.347
Ag2 0.000 0.341 0.000
Ag3 0.000 0.500 0.303
# E	-3.599	eV per atom
# Fermi-level density of states	7.658	states/eV per cell

***

Record 10
# Sm8AlAg2, relaxed, DFT PBE
data_Sm8AlAg2
_chemical_formula_sum 'Sm16 Al2 Ag4'
_space_group_name_H-M_alt 'C 1 2/m 1'
_space_group_IT_number 12
_space_group_name_Hall '-C 2y'
_cell_length_a 18.152
_cell_length_b 5.282
_cell_length_c 7.162
_cell_angle_alpha 90.00
_cell_angle_beta 108.20
_cell_angle_gamma 90.00
loop_
_atom_site_label
_atom_site_fract_x
_atom_site_fract_y
_atom_site_fract_z
Sm1 0.026 0.000 0.277
Sm2 0.092 0.500 0.961
Sm3 0.169 0.500 0.477
Sm4 0.193 0.000 0.809
Al1 0.000 0.500 0.500
Ag1 0.181 0.000 0.212
# E	-4.423	eV per atom
# Fermi-level density of states	20.715	states/eV per cell

***

Record 11
# Sm3Al2Ag7, relaxed, DFT PBE
data_Sm3Al2Ag7
_chemical_formula_sum 'Sm6 Al4 Ag14'
_space_group_name_H-M_alt 'I 4/m m m'
_space_group_IT_number 139
_space_group_name_Hall '-I 4 2'
_cell_length_a 4.218
_cell_length_b 4.218
_cell_length_c 29.618
_cell_angle_alpha 90.00
_cell_angle_beta 90.00
_cell_angle_gamma 90.00
loop_
_atom_site_label
_atom_site_fract_x
_atom_site_fract_y
_atom_site_fract_z
Sm1 0.000 0.000 0.000
Sm2 0.000 0.000 0.173
Al1 0.000 0.000 0.366
Ag1 0.000 0.000 0.276
Ag2 0.000 0.000 0.500
Ag3 0.000 0.500 0.080
# E	-3.631	eV per atom
# Fermi-level density of states	18.264	states/eV per cell

***

Record 12
# SmAlAg, relaxed, DFT PBE
data_SmAlAg
_chemical_formula_sum 'Sm4 Al4 Ag4'
_space_group_name_H-M_alt 'C 1 2/m 1'
_space_group_IT_number 12
_space_group_name_Hall '-C 2y'
_cell_length_a 10.561
_cell_length_b 4.654
_cell_length_c 7.434
_cell_angle_alpha 90.00
_cell_angle_beta 131.56
_cell_angle_gamma 90.00
loop_
_atom_site_label
_atom_site_fract_x
_atom_site_fract_y
_atom_site_fract_z
Sm1 0.040 0.000 0.297
Al1 0.160 0.500 0.109
Ag1 0.173 0.500 0.728
# E	-4.159	eV per atom
# Fermi-level density of states	8.843	states/eV per cell

***

Result set for energy relative to the elements: -0.23; -0.16; -0.43; -0.34; -0.24; -0.35; -0.38; -0.17; -0.19; -0.13; -0.16; -0.39 eV per atom, one per record in the order listed.